Entry 1:
# PaSbPO

A relaxed structure of PaSbPO (PBE-GGA, OQMD via LeMat-Bulk).

Results
Calculated total energy (eV per atom): -6.0044
Distance to the lowest polymorph of the same formula (eV per formula unit): 3.56

Lattice parameters (Å, degrees): 4.739 4.739 6.992 90.00 90.00 90.00
Sites, in units of the cell vectors:
O  0.000  0.000  0.000
O  0.500  0.500  0.000
P  0.500  0.000  0.303
P  0.000  0.500  0.697
Pa  0.000  0.000  0.500
Pa  0.500  0.500  0.500
Sb  0.000  0.500  0.076
Sb  0.500  0.000  0.924

---

Entry 2:
# PaSbPO

A relaxed structure of PaSbPO (PBE-GGA, OQMD via LeMat-Bulk).

Results
Calculated total energy (eV per atom): -6.8848
Distance to the lowest polymorph of the same formula (eV per formula unit): 0.04

Lattice parameters (Å, degrees): 4.036 4.036 9.861 90.00 90.00 90.00
Sites, in units of the cell vectors:
O  0.500  0.000  0.000
O  0.000  0.500  0.000
P  0.500  0.500  0.255
P  0.000  0.000  0.745
Pa  0.000  0.000  0.135
Pa  0.500  0.500  0.865
Sb  0.500  0.000  0.500
Sb  0.000  0.500  0.500

---

Entry 3:
# PaSbPO

A relaxed structure of PaSbPO (PBE-GGA, OQMD via LeMat-Bulk).

Results
Calculated total energy (eV per atom): -6.7443
Distance to the lowest polymorph of the same formula (eV per formula unit): 0.60

Lattice parameters (Å, degrees): 4.421 6.384 7.031 90.00 90.00 90.00
Sites, in units of the cell vectors:
O  0.000  0.356  0.253
O  0.000  0.644  0.753
P  0.500  0.873  0.442
P  0.500  0.127  0.942
Pa  0.000  0.609  0.458
Pa  0.000  0.391  0.958
Sb  0.500  0.739  0.101
Sb  0.500  0.261  0.601